VASP calculation (PBE) on an optimized crystal structure of UCuAsSe.

The structure belongs to space group P4/nmm (No. 129, origin choice 2); the cell edges are 4.168, 4.168 and 8.873 Å and the angles 90.00°, 90.00° and 90.00°. The distinct sites, in fractional coordinates, are U at (0.250, 0.250, 0.228), Cu at (0.250, 0.750, 0.500), As at (0.250, 0.250, 0.665) and Se at (0.250, 0.750, 0.000).

For the formation energy (no corrections), the calculation gives -537 meV/atom. Its total energy is -6.42 eV/atom. The density of states at the Fermi level is 7.584 states/eV/f.u. The value obtained for the total magnetization is 2.1 μB per formula unit.